# 1
VASP calculation (SCAN) on Sc2BeIn at its PBEsol-relaxed geometry.

Values from the calculation:
- E_form (eV/atom) = -0.33
- offset from the most stable computed form (meV/atom) = 0

Cell lengths 3.249, 3.249, 6.969 Å; angles 90.00, 90.00, 90.00 degrees
Fractional positions:
Sc 0.000 0.000 0.215
Sc 0.000 0.000 0.785
Be 0.500 0.500 0.000
In 0.500 0.500 0.500

# 2
VASP calculation (SCAN) on ScBeIn at its PBEsol-relaxed geometry.

Values from the calculation:
- E_form (eV/atom) = -0.30

Cell lengths 4.289, 4.289, 3.312 Å; angles 90.00, 90.00, 120.00 degrees
Fractional positions:
Sc 0.000 0.000 0.000
Be 0.667 0.333 0.502
In 0.333 0.667 0.500

# 3
VASP calculation (SCAN) on BeInSe2 at its PBEsol-relaxed geometry.

Values from the calculation:
- ΔE_f (raw) (eV/atom) = -0.17
- offset from the most stable computed form (meV/atom) = 348

Cell lengths 8.725, 8.725, 8.725 Å; angles 21.52, 21.52, 21.52 degrees
Fractional positions:
Be 0.000 0.000 0.000
In 0.500 0.500 0.500
Se 0.388 0.388 0.388
Se 0.612 0.612 0.612

# 4
VASP calculation (SCAN) on BeInSe2 at its PBEsol-relaxed geometry.

Values from the calculation:
- ΔE_f (raw) (eV/atom) = 0.35
- offset from the most stable computed form (meV/atom) = 869

Cell lengths 4.752, 4.752, 4.752 Å; angles 60.00, 60.00, 60.00 degrees
Fractional positions:
Be 0.000 0.000 0.000
In 0.500 0.500 0.500
Se 0.250 0.250 0.250
Se 0.750 0.750 0.750

# 5
VASP calculation (SCAN) on BeInSe2 at its PBEsol-relaxed geometry.

Values from the calculation:
- ΔE_f (raw) (eV/atom) = -0.17
- offset from the most stable computed form (meV/atom) = 354

Cell lengths 4.054, 4.054, 7.251 Å; angles 90.00, 90.00, 128.16 degrees
Fractional positions:
Be 0.000 0.000 0.000
In 0.000 0.000 0.500
Se 0.500 0.500 0.204
Se 0.500 0.500 0.796

# 6
VASP calculation (SCAN) on BeInSe4 at its PBEsol-relaxed geometry.

Values from the calculation:
- ΔE_f (raw) (eV/atom) = 0.78

Cell lengths 5.710, 5.710, 5.710 Å; angles 60.00, 60.00, 60.00 degrees
Fractional positions:
Be 0.000 0.000 0.000
In 0.750 0.750 0.750
Se 0.374 0.374 0.374
Se 0.374 0.374 0.879
Se 0.374 0.879 0.374
Se 0.879 0.374 0.374

# 7
VASP calculation (SCAN) on BeInSe3 at its PBEsol-relaxed geometry.

Values from the calculation:
- ΔE_f (raw) (eV/atom) = 0.91

Cell lengths 5.162, 5.162, 5.162 Å; angles 90.00, 90.00, 90.00 degrees
Fractional positions:
Be 0.000 0.000 0.000
In 0.500 0.500 0.500
Se 0.000 0.500 0.500
Se 0.500 0.000 0.500
Se 0.500 0.500 0.000

# 8
VASP calculation (SCAN) on BeIn2Se at its PBEsol-relaxed geometry.

Values from the calculation:
- ΔE_f (raw) (eV/atom) = 0.30
- offset from the most stable computed form (meV/atom) = 185

Cell lengths 3.452, 3.452, 7.203 Å; angles 90.00, 90.00, 105.44 degrees
Fractional positions:
Be 0.000 0.000 0.000
In 0.500 0.500 0.232
In 0.500 0.500 0.768
Se 0.000 0.000 0.500

# 9
VASP calculation (SCAN) on BeIn2Se at its PBEsol-relaxed geometry.

Values from the calculation:
- ΔE_f (raw) (eV/atom) = 0.39
- offset from the most stable computed form (meV/atom) = 284

Cell lengths 5.949, 5.949, 5.949 Å; angles 140.35, 140.35, 57.33 degrees
Fractional positions:
Be 0.000 0.000 0.000
In 0.250 0.750 0.500
In 0.750 0.250 0.500
Se 0.500 0.500 0.000

# 10
VASP calculation (SCAN) on BeInSe2 at its PBEsol-relaxed geometry.

Values from the calculation:
- ΔE_f (raw) (eV/atom) = -0.20
- offset from the most stable computed form (meV/atom) = 318

Cell lengths 3.896, 3.414, 6.494 Å; angles 90.00, 93.25, 90.00 degrees
Fractional positions:
Be 0.000 0.000 0.000
In 0.500 0.000 0.500
Se 0.113 0.500 0.781
Se 0.887 0.500 0.219

# 11
VASP calculation (SCAN) on BeIn2Se at its PBEsol-relaxed geometry.

Values from the calculation:
- ΔE_f (raw) (eV/atom) = 0.11
- offset from the most stable computed form (meV/atom) = 0

Cell lengths 6.958, 6.958, 6.958 Å; angles 127.04, 127.04, 78.18 degrees
Fractional positions:
Be 0.000 0.000 0.000
Be 0.750 0.250 0.500
In 0.087 0.125 0.462
In 0.375 0.913 0.038
In 0.663 0.625 0.538
In 0.875 0.337 0.962
Se 0.250 0.750 0.500
Se 0.500 0.500 0.000

# 12
VASP calculation (SCAN) on BeInSe2 at its PBEsol-relaxed geometry.

Values from the calculation:
- ΔE_f (raw) (eV/atom) = -0.34
- offset from the most stable computed form (meV/atom) = 183

Cell lengths 7.597, 7.597, 7.597 Å; angles 28.60, 28.60, 28.60 degrees
Fractional positions:
Be 0.000 0.000 0.000
In 0.223 0.223 0.223
Se 0.488 0.488 0.488
Se 0.685 0.685 0.685

Repeat the eleventh record exactly.
VASP calculation (SCAN) on BeIn2Se at its PBEsol-relaxed geometry.

Values from the calculation:
- ΔE_f (raw) (eV/atom) = 0.11
- offset from the most stable computed form (meV/atom) = 0

Cell lengths 6.958, 6.958, 6.958 Å; angles 127.04, 127.04, 78.18 degrees
Fractional positions:
Be 0.000 0.000 0.000
Be 0.750 0.250 0.500
In 0.087 0.125 0.462
In 0.375 0.913 0.038
In 0.663 0.625 0.538
In 0.875 0.337 0.962
Se 0.250 0.750 0.500
Se 0.500 0.500 0.000